[1]
Here is MgSiRh after structural relaxation from Alexandria via LeMat-Bulk. Energies are from PBE-GGA.

Geometry as POSCAR:
```
MgSiRh
1.0
-1.578 1.578 4.603
1.578 -1.578 4.603
1.578 1.578 -4.603
Mg Si Rh
1 1 1
direct
0.000 0.000 0.000
0.695 0.695 0.000
0.307 0.307 0.000
```

- Energy: -5.375 eV per atom
- Spin magnetization: 0.00 μB per formula unit

---

[2]
Here is Sc2SeBr after structural relaxation from Alexandria via LeMat-Bulk. Energies are from PBE-GGA.

Geometry as POSCAR:
```
Sc2SeBr
1.0
0.000 3.402 3.402
3.402 0.000 3.402
3.402 3.402 0.000
Sc Se Br
2 1 1
direct
0.250 0.250 0.250
0.750 0.750 0.750
0.000 0.000 0.000
0.500 0.500 0.500
```

- Energy: -5.486 eV per atom
- Spin magnetization: 0.00 μB per formula unit

---

[3]
Here is TlCr2W after structural relaxation from Alexandria via LeMat-Bulk. Energies are from PBE-GGA.

Geometry as POSCAR:
```
TlCr2W
1.0
-1.904 1.904 4.346
1.904 -1.904 4.346
1.904 1.904 -4.346
Tl Cr W
1 2 1
direct
0.000 0.000 0.000
0.500 0.500 0.000
0.750 0.250 0.500
0.250 0.750 0.500
```

- Energy of formation: 0.7968 eV per atom
- Spin magnetization: 2.90 μB per formula unit

---

[4]
Here is LiAsIrO6 after structural relaxation from Alexandria via LeMat-Bulk. Energies are from PBE-GGA.

Geometry as POSCAR:
```
LiAsIrO6
1.0
5.042 0.000 0.000
-2.521 4.366 0.000
0.000 0.000 9.231
Li As Ir O
2 2 2 12
direct
0.000 0.000 0.000
0.000 0.000 0.500
0.333 0.667 0.250
0.667 0.333 0.750
0.333 0.667 0.750
0.667 0.333 0.250
0.011 0.366 0.139
0.011 0.645 0.361
0.355 0.366 0.361
0.355 0.989 0.139
0.366 0.011 0.639
0.366 0.355 0.861
0.634 0.645 0.139
0.634 0.989 0.361
0.645 0.011 0.861
0.645 0.634 0.639
0.989 0.355 0.639
0.989 0.634 0.861
```

- Energy: -6.067 eV per atom
- Spin magnetization: 0.86 μB per formula unit

---

[5]
Here is Li2GaSn after structural relaxation from Alexandria via LeMat-Bulk. Energies are from PBE-GGA.

Geometry as POSCAR:
```
Li2GaSn
1.0
1.592 0.919 8.994
-1.592 0.919 8.994
0.000 -1.838 8.994
Li Ga Sn
2 1 1
direct
0.000 0.000 0.000
0.159 0.159 0.159
0.746 0.746 0.746
0.580 0.580 0.580
```

- Energy of formation: -0.1882 eV per atom
- Spin magnetization: 0.00 μB per formula unit

---

[6]
Here is TlCo3B after structural relaxation from Alexandria via LeMat-Bulk. Energies are from PBE-GGA.

Geometry as POSCAR:
```
TlCo3B
1.0
3.918 0.000 0.000
0.000 3.918 0.000
0.000 0.000 3.918
Tl Co B
1 3 1
direct
0.000 0.000 0.000
0.000 0.500 0.500
0.500 0.000 0.500
0.500 0.500 0.000
0.500 0.500 0.500
```

- Energy of formation: 0.1412 eV per atom
- Spin magnetization: 1.05 μB per formula unit

---

[7]
Here is TlPb2Cl5 after structural relaxation from Alexandria via LeMat-Bulk. Energies are from PBE-GGA.

Geometry as POSCAR:
```
TlPb2Cl5
1.0
7.342 -4.010 0.000
7.342 4.010 0.000
-3.805 0.000 9.903
Tl Pb Cl
2 4 10
direct
0.000 0.000 0.000
0.000 0.000 0.500
0.372 0.378 0.792
0.378 0.372 0.292
0.622 0.628 0.708
0.628 0.622 0.208
0.021 0.382 0.668
0.236 0.764 0.750
0.276 0.559 0.062
0.382 0.021 0.168
0.441 0.724 0.438
0.559 0.276 0.562
0.618 0.979 0.832
0.724 0.441 0.938
0.764 0.236 0.250
0.979 0.618 0.332
```

- Energy: -3.495 eV per atom
- Spin magnetization: 0.00 μB per formula unit

---

[8]
Here is NbSiNi after structural relaxation from Alexandria via LeMat-Bulk. Energies are from PBE-GGA.

Geometry as POSCAR:
```
NbSiNi
1.0
5.024 -1.412 0.000
5.024 1.412 0.000
-3.330 0.000 5.969
Nb Si Ni
2 2 2
direct
0.000 0.000 0.000
0.200 0.200 0.588
0.494 0.494 0.663
0.749 0.749 0.303
0.443 0.443 0.293
0.738 0.738 0.966
```

- Energy: -7.457 eV per atom
- Spin magnetization: 0.00 μB per formula unit

---

DOS(E_F) list, top to bottom, in states/eV per cell: 1.12; 3.72; 5.24; 11.34; 1.99; 3.49; 0.00; 2.96